Below is a relaxed Na2InB crystal, with properties calculated at the GGA-PBE level.

Output
SG: No. 122
E above lowest polymorph (meV per atom): 10

```
Na2InB
1.0
-1.993 1.993 10.482
1.993 -1.993 10.482
1.993 1.993 -10.482
Na In B
4 2 2
Direct
0.098 0.625 0.973
0.375 0.348 0.473
0.652 0.125 0.027
0.875 0.902 0.527
0.250 0.750 0.500
0.500 0.500 0.000
0.000 0.000 0.000
0.750 0.250 0.500
```


Below is a relaxed NaIn3B crystal, with properties calculated at the GGA-PBE level.

Output
SG: No. 221
E above lowest polymorph (meV per atom): 992

```
NaIn3B
1.0
5.465 0.000 0.000
0.000 5.465 0.000
0.000 0.000 5.465
Na In B
1 3 1
Direct
0.000 0.000 0.000
0.000 0.000 0.500
0.000 0.500 0.000
0.500 0.000 0.000
0.500 0.500 0.500
```


Below is a relaxed NaIn3B crystal, with properties calculated at the GGA-PBE level.

Output
SG: No. 221
E above lowest polymorph (meV per atom): 0

```
NaIn3B
1.0
4.965 0.000 0.000
0.000 4.965 0.000
0.000 0.000 4.965
Na In B
1 3 1
Direct
0.000 0.000 0.000
0.000 0.500 0.500
0.500 0.000 0.500
0.500 0.500 0.000
0.500 0.500 0.500
```